No. 1
# PBE Ce6Ni2Pt, relaxed
# Density of states at the Fermi level = 91.1 states/eV/cell
# ρ = 9338 kg/m3
# Energy of formation = -2.8 eV per formula unit
data_Ce6Ni2Pt
_symmetry_space_group_name_H-M 'C 1 2/m 1'
_symmetry_Int_Tables_number 12
_symmetry_space_group_name_Hall '-C 2y'
_cell_length_a 13.463
_cell_length_b 9.589
_cell_length_c 7.783
_cell_angle_alpha 90.00
_cell_angle_beta 125.27
_cell_angle_gamma 90.00
loop_
_atom_site_label
_atom_site_type_symbol
_atom_site_fract_x
_atom_site_fract_y
_atom_site_fract_z
Ce1 Ce 0.000 0.200 0.215
Ce2 Ce 0.190 0.500 0.926
Ce3 Ce 0.191 0.500 0.454
Ce4 Ce 0.241 0.191 0.741
Ni1 Ni 0.000 0.370 0.500
Ni2 Ni 0.118 0.000 0.117
Pt1 Pt 0.000 0.000 0.500
Pt2 Pt 0.000 0.500 0.000


No. 2
# PBE CeNi5Pt, relaxed
# Density of states at the Fermi level = 36.6 states/eV/cell
# ρ = 10741 kg/m3
# Energy of formation = -2.4 eV per formula unit
data_CeNi5Pt
_symmetry_space_group_name_H-M 'P n m a'
_symmetry_Int_Tables_number 62
_symmetry_space_group_name_Hall '-P 2ac 2n'
_cell_length_a 7.885
_cell_length_b 4.853
_cell_length_c 10.159
_cell_angle_alpha 90.00
_cell_angle_beta 90.00
_cell_angle_gamma 90.00
loop_
_atom_site_label
_atom_site_type_symbol
_atom_site_fract_x
_atom_site_fract_y
_atom_site_fract_z
Ce1 Ce 0.241 0.250 0.059
Ni1 Ni 0.058 0.750 0.104
Ni2 Ni 0.069 0.002 0.314
Ni3 Ni 0.103 0.250 0.521
Ni4 Ni 0.183 0.250 0.750
Pt1 Pt 0.137 0.750 0.858


No. 3
# PBE Ce2Ni9Pt, relaxed
# Density of states at the Fermi level = 38.4 states/eV/cell
# ρ = 9986 kg/m3
# Energy of formation = -2.7 eV per formula unit
data_Ce2Ni9Pt
_symmetry_space_group_name_H-M 'R -3 m'
_symmetry_Int_Tables_number 166
_symmetry_space_group_name_Hall '-R 3 2"'
_cell_length_a 4.8933
_cell_length_b 4.8933
_cell_length_c 24.1425
_cell_angle_alpha 90.00
_cell_angle_beta 90.00
_cell_angle_gamma 120.00
loop_
_atom_site_label
_atom_site_type_symbol
_atom_site_fract_x
_atom_site_fract_y
_atom_site_fract_z
Ce1 Ce 0.0000 0.0000 0.1289
Ni1 Ni 0.0000 0.0000 0.3329
Ni2 Ni 0.0000 0.0000 0.5000
Ni3 Ni 0.0015 0.5008 0.9182
Pt1 Pt 0.0000 0.0000 0.0000


No. 4
# PBE CeNiPt4, relaxed
# Density of states at the Fermi level = 42.2 states/eV/cell
# ρ = 15198 kg/m3
# Energy of formation = -3.4 eV per formula unit
# Offset from the most stable computed form = 3.68 kJ/mol of atoms
data_CeNiPt4
_symmetry_space_group_name_H-M 'F -4 3 m'
_symmetry_Int_Tables_number 216
_symmetry_space_group_name_Hall 'F -4 2 3'
_cell_length_a 7.536
_cell_length_b 7.536
_cell_length_c 7.536
_cell_angle_alpha 90.00
_cell_angle_beta 90.00
_cell_angle_gamma 90.00
loop_
_atom_site_label
_atom_site_type_symbol
_atom_site_fract_x
_atom_site_fract_y
_atom_site_fract_z
Ce1 Ce 0.000 0.000 0.000
Ni1 Ni 0.250 0.250 0.250
Pt1 Pt 0.124 0.124 0.624


No. 5
# PBE CeNi8Pt3, relaxed
# Density of states at the Fermi level = 14.7 states/eV/cell
# ρ = 12490 kg/m3
# Energy of formation = -2.5 eV per formula unit
data_CeNi8Pt3
_symmetry_space_group_name_H-M 'P 3 m 1'
_symmetry_Int_Tables_number 156
_symmetry_space_group_name_Hall 'P 3 -2"'
_cell_length_a 4.8414
_cell_length_b 4.8414
_cell_length_c 7.8262
_cell_angle_alpha 90.00
_cell_angle_beta 90.00
_cell_angle_gamma 120.00
loop_
_atom_site_label
_atom_site_type_symbol
_atom_site_fract_x
_atom_site_fract_y
_atom_site_fract_z
Ce1 Ce 0.0000 0.0000 0.0000
Ni1 Ni 0.1653 0.3305 0.6750
Ni2 Ni 0.3333 0.6667 0.4284
Ni3 Ni 0.3333 0.6667 0.9282
Ni4 Ni 0.5028 0.0055 0.1899
Pt1 Pt 0.0000 0.0000 0.3812
Pt2 Pt 0.6667 0.3333 0.4946
Pt3 Pt 0.6667 0.3333 0.8617


No. 6
# PBE CeNi3Pt, relaxed
# Density of states at the Fermi level = 24.1 states/eV/cell
# ρ = 10970 kg/m3
# Energy of formation = -2.1 eV per formula unit
data_CeNi3Pt
_symmetry_space_group_name_H-M 'I m m a'
_symmetry_Int_Tables_number 74
_symmetry_space_group_name_Hall '-I 2b 2'
_cell_length_a 4.836
_cell_length_b 7.139
_cell_length_c 8.966
_cell_angle_alpha 90.00
_cell_angle_beta 90.00
_cell_angle_gamma 90.00
loop_
_atom_site_label
_atom_site_type_symbol
_atom_site_fract_x
_atom_site_fract_y
_atom_site_fract_z
Ce1 Ce 0.000 0.250 0.005
Ni1 Ni 0.000 0.250 0.708
Ni2 Ni 0.250 0.052 0.250
Pt1 Pt 0.000 0.000 0.500


No. 7
# PBE CeNiPt4, relaxed
# Density of states at the Fermi level = 12.5 states/eV/cell
# ρ = 15814 kg/m3
# Energy of formation = -3.6 eV per formula unit
# Offset from the most stable computed form = 0.00 kJ/mol of atoms
data_CeNiPt4
_symmetry_space_group_name_H-M 'P m m a'
_symmetry_Int_Tables_number 51
_symmetry_space_group_name_Hall '-P 2a 2a'
_cell_length_a 7.451
_cell_length_b 4.114
_cell_length_c 6.708
_cell_angle_alpha 90.00
_cell_angle_beta 90.00
_cell_angle_gamma 90.00
loop_
_atom_site_label
_atom_site_type_symbol
_atom_site_fract_x
_atom_site_fract_y
_atom_site_fract_z
Ce1 Ce 0.250 0.000 0.127
Ni1 Ni 0.250 0.000 0.753
Pt1 Pt 0.000 0.000 0.500
Pt2 Pt 0.044 0.500 0.805
Pt3 Pt 0.250 0.500 0.462


No. 8
# PBE CeNi6Pt12, relaxed
# Density of states at the Fermi level = 58.4 states/eV/cell
# ρ = 16001 kg/m3
# Energy of formation = 1.5 eV per formula unit
data_CeNi6Pt12
_symmetry_space_group_name_H-M 'I m -3'
_symmetry_Int_Tables_number 204
_symmetry_space_group_name_Hall '-I 2 2 3'
_cell_length_a 8.378
_cell_length_b 8.378
_cell_length_c 8.378
_cell_angle_alpha 90.00
_cell_angle_beta 90.00
_cell_angle_gamma 90.00
loop_
_atom_site_label
_atom_site_type_symbol
_atom_site_fract_x
_atom_site_fract_y
_atom_site_fract_z
Ce1 Ce 0.000 0.000 0.000
Ni1 Ni 0.000 0.131 0.500
Pt1 Pt 0.000 0.271 0.195


No. 9
# PBE Ce4NiPt, relaxed
# Density of states at the Fermi level = 56.7 states/eV/cell
# ρ = 9948 kg/m3
# Energy of formation = -2.5 eV per formula unit
data_Ce4NiPt
_symmetry_space_group_name_H-M 'C 1 2/c 1'
_symmetry_Int_Tables_number 15
_symmetry_space_group_name_Hall '-C 2yc'
_cell_length_a 8.693
_cell_length_b 12.364
_cell_length_c 5.760
_cell_angle_alpha 90.00
_cell_angle_beta 118.59
_cell_angle_gamma 90.00
loop_
_atom_site_label
_atom_site_type_symbol
_atom_site_fract_x
_atom_site_fract_y
_atom_site_fract_z
Ce1 Ce 0.133 0.183 0.115
Ce2 Ce 0.184 0.403 0.330
Ni1 Ni 0.000 0.007 0.750
Pt1 Pt 0.000 0.380 0.750


No. 10
# PBE Ce2Ni5Pt, relaxed
# Density of states at the Fermi level = 10.0 states/eV/cell
# ρ = 10415 kg/m3
# Energy of formation = -3.2 eV per formula unit
data_Ce2Ni5Pt
_symmetry_space_group_name_H-M 'I 4/m m m'
_symmetry_Int_Tables_number 139
_symmetry_space_group_name_Hall '-I 4 2'
_cell_length_a 5.636
_cell_length_b 5.636
_cell_length_c 7.719
_cell_angle_alpha 90.00
_cell_angle_beta 90.00
_cell_angle_gamma 90.00
loop_
_atom_site_label
_atom_site_type_symbol
_atom_site_fract_x
_atom_site_fract_y
_atom_site_fract_z
Ce1 Ce 0.000 0.500 0.000
Ni1 Ni 0.000 0.000 0.000
Ni2 Ni 0.250 0.250 0.250
Pt1 Pt 0.000 0.000 0.500


No. 11
# PBE CeNi4Pt8, relaxed
# Density of states at the Fermi level = 38.6 states/eV/cell
# ρ = 16128 kg/m3
# Energy of formation = -4.5 eV per formula unit
data_CeNi4Pt8
_symmetry_space_group_name_H-M 'I 4/m m m'
_symmetry_Int_Tables_number 139
_symmetry_space_group_name_Hall '-I 4 2'
_cell_length_a 8.826
_cell_length_b 8.826
_cell_length_c 5.117
_cell_angle_alpha 90.00
_cell_angle_beta 90.00
_cell_angle_gamma 90.00
loop_
_atom_site_label
_atom_site_type_symbol
_atom_site_fract_x
_atom_site_fract_y
_atom_site_fract_z
Ce1 Ce 0.000 0.000 0.000
Ni1 Ni 0.250 0.250 0.250
Pt1 Pt 0.000 0.220 0.500
Pt2 Pt 0.000 0.341 0.000


No. 12
# PBE Ce3NiPt, relaxed
# Density of states at the Fermi level = 18.7 states/eV/cell
# ρ = 9769 kg/m3
# Energy of formation = -2.4 eV per formula unit
data_Ce3NiPt
_symmetry_space_group_name_H-M 'P -1'
_symmetry_Int_Tables_number 2
_symmetry_space_group_name_Hall '-P 1'
_cell_length_a 5.180
_cell_length_b 7.076
_cell_length_c 7.111
_cell_angle_alpha 102.92
_cell_angle_beta 103.65
_cell_angle_gamma 107.42
loop_
_atom_site_label
_atom_site_type_symbol
_atom_site_fract_x
_atom_site_fract_y
_atom_site_fract_z
Ce1 Ce 0.008 0.209 0.296
Ce2 Ce 0.240 0.871 0.242
Ce3 Ce 0.266 0.396 0.725
Ni1 Ni 0.387 0.680 0.517
Pt1 Pt 0.405 0.184 0.027